(1)
Here is crystalline HoSc3Te2C2 at its relaxed geometry from OQMD. Energies are from PBE.

abc: 3.6314 3.6314 13.4284
angles: 90.00 90.00 120.00
Space group P3m1 (No. 156)
Unique sites:
Ho 0.0000 0.0000 0.0000 (multiplicity 1)
Sc 0.0000 0.0000 0.6733 (multiplicity 1)
Sc 0.6667 0.3333 0.1862 (multiplicity 1)
Sc 0.6667 0.3333 0.4986 (multiplicity 1)
Te 0.0000 0.0000 0.3426 (multiplicity 1)
Te 0.6667 0.3333 0.8285 (multiplicity 1)
C 0.3333 0.6667 0.0978 (multiplicity 1)
C 0.3333 0.6667 0.5859 (multiplicity 1)

Summary:
Electronic total energy: -55.091 eV per formula unit

---

(2)
Here is crystalline Ho2CSe at its relaxed geometry from OQMD. Energies are from PBE.

abc: 3.7428 3.7428 19.6382
angles: 90.00 90.00 120.00
Space group R-3m (No. 166, hexagonal axes)
Unique sites:
Ho 0.0000 0.0000 0.2340 (multiplicity 6)
C 0.0000 0.0000 0.5000 (multiplicity 3)
Se 0.0000 0.0000 0.0000 (multiplicity 3)

Summary:
Electronic total energy: -26.564 eV per formula unit

---

(3)
Here is crystalline Ho4SnC2Se at its relaxed geometry from OQMD. Energies are from PBE.

abc: 3.6740 3.6740 14.5054
angles: 90.00 90.00 120.00
Space group P-6m2 (No. 187)
Unique sites:
Ho 0.0000 0.0000 0.1375 (multiplicity 2)
Ho 0.6667 0.3333 0.3204 (multiplicity 2)
Sn 0.0000 0.0000 0.5000 (multiplicity 1)
C 0.3333 0.6667 0.2304 (multiplicity 2)
Se 0.6667 0.3333 0.0000 (multiplicity 1)

Summary:
Electronic total energy: -51.066 eV per formula unit